# 1
# PBE GdScW4, optimized geometry
# D(E_F)   31.98 states/eV/cell
# Theoretical density   13.32 g/cm³
# Energy of formation   0.14 eV per atom
# Calculated total energy   -285.5 eV/cell
data_GdScW4
_symmetry_space_group_name_H-M 'F -4 3 m'
_symmetry_Int_Tables_number 216
_symmetry_space_group_name_Hall 'F -4 2 3'
_cell_length_a 7.761
_cell_length_b 7.761
_cell_length_c 7.761
_cell_angle_alpha 90.00
_cell_angle_beta 90.00
_cell_angle_gamma 90.00
loop_
_atom_site_label
_atom_site_fract_x
_atom_site_fract_y
_atom_site_fract_z
_atom_site_occupancy
Gd1 0.000 0.000 0.000 1
Sc1 0.250 0.250 0.750 1
W1 0.125 0.125 0.375 1

# 2
# PBE KTlTc, optimized geometry
# D(E_F)   5.66 states/eV/cell
# Theoretical density   6.54 g/cm³
# Energy of formation   0.85 eV per atom
# Calculated total energy   -22.6 eV/cell
# E above lowest polymorph   0.00 eV/f.u.
data_KTlTc
_symmetry_space_group_name_H-M 'I m m 2'
_symmetry_Int_Tables_number 44
_cell_length_a 3.021
_cell_length_b 4.592
_cell_length_c 12.502
_cell_angle_alpha 90.00
_cell_angle_beta 90.00
_cell_angle_gamma 90.00
loop_
_symmetry_equiv_pos_as_xyz
'x,y,z'
'-x,-y,z'
'-x,y,z'
'x,-y,z'
'x+1/2,y+1/2,z+1/2'
'-x+1/2,-y+1/2,z+1/2'
'-x+1/2,y+1/2,z+1/2'
'x+1/2,-y+1/2,z+1/2'
loop_
_atom_site_label
_atom_site_fract_x
_atom_site_fract_y
_atom_site_fract_z
_atom_site_occupancy
K1 0.000 0.000 0.000 1
Tl1 0.000 0.000 0.271 1
Tc1 0.000 0.000 0.731 1

# 3
# PBE ErMnNb, optimized geometry
# D(E_F)   31.89 states/eV/cell
# Theoretical density   9.04 g/cm³
# Energy of formation   0.15 eV per atom
# Calculated total energy   -186.8 eV/cell
data_ErMnNb
_symmetry_space_group_name_H-M 'F m m m'
_symmetry_Int_Tables_number 69
_symmetry_space_group_name_Hall '-F 2 2'
_cell_length_a 5.665
_cell_length_b 8.335
_cell_length_c 9.802
_cell_angle_alpha 90.00
_cell_angle_beta 90.00
_cell_angle_gamma 90.00
loop_
_atom_site_label
_atom_site_fract_x
_atom_site_fract_y
_atom_site_fract_z
_atom_site_occupancy
Er1 0.000 0.179 0.000 1
Mn1 0.250 0.250 0.250 1
Nb1 0.000 0.000 0.324 1

# 4
# PBE Cr2CdHgI, optimized geometry
# D(E_F)   1.90 states/eV/cell
# Theoretical density   4.19 g/cm³
# Formation energy from raw total energies   1.05 eV/atom
# Calculated total energy   -16.8 eV/cell
data_Cr2CdHgI
_symmetry_space_group_name_H-M 'P 4/m m m'
_symmetry_Int_Tables_number 123
_symmetry_space_group_name_Hall '-P 4 2'
_cell_length_a 5.465
_cell_length_b 5.465
_cell_length_c 7.220
_cell_angle_alpha 90.00
_cell_angle_beta 90.00
_cell_angle_gamma 90.00
loop_
_atom_site_label
_atom_site_fract_x
_atom_site_fract_y
_atom_site_fract_z
_atom_site_occupancy
Cr1 0.000 0.500 0.000 1
Cd1 0.000 0.000 0.500 1
Hg1 0.500 0.500 0.500 1
I1 0.000 0.000 0.000 1

# 5
# PBE ZnPt2C, optimized geometry
# D(E_F)   2.75 states/eV/cell
# Theoretical density   11.51 g/cm³
# Energy of formation   0.37 eV per atom
# Calculated total energy   -84.3 eV/cell
# E above lowest polymorph   0.00 eV/f.u.
data_ZnPt2C
_symmetry_space_group_name_H-M 'I -4 2 d'
_symmetry_Int_Tables_number 122
_symmetry_space_group_name_Hall 'I -4 2bw'
_cell_length_a 5.542
_cell_length_b 5.542
_cell_length_c 8.788
_cell_angle_alpha 90.00
_cell_angle_beta 90.00
_cell_angle_gamma 90.00
loop_
_atom_site_label
_atom_site_fract_x
_atom_site_fract_y
_atom_site_fract_z
_atom_site_occupancy
Zn1 0.000 0.000 0.000 1
Pt1 0.162 0.250 0.625 1
C1 0.000 0.000 0.500 1

# 6
# PBE KFe2Os, optimized geometry
# D(E_F)   3.94 states/eV/cell
# Theoretical density   8.13 g/cm³
# Energy of formation   0.77 eV per atom
# Calculated total energy   -26.2 eV/cell
# E above lowest polymorph   0.28 eV/f.u.
data_KFe2Os
_symmetry_space_group_name_H-M 'P 4 m m'
_symmetry_Int_Tables_number 99
_cell_length_a 2.824
_cell_length_b 2.824
_cell_length_c 8.731
_cell_angle_alpha 90.00
_cell_angle_beta 90.00
_cell_angle_gamma 90.00
loop_
_symmetry_equiv_pos_as_xyz
'x,y,z'
'-y,x,z'
'-x,-y,z'
'y,-x,z'
'-x,y,z'
'y,x,z'
'x,-y,z'
'-y,-x,z'
loop_
_atom_site_label
_atom_site_fract_x
_atom_site_fract_y
_atom_site_fract_z
_atom_site_occupancy
K1 0.000 0.000 0.000 1
Fe1 0.000 0.000 0.494 1
Fe2 0.500 0.500 0.656 1
Os1 0.500 0.500 0.319 1

# 7
# PBE Ce2MnAu, optimized geometry
# D(E_F)   20.64 states/eV/cell
# Theoretical density   11.04 g/cm³
# Energy of formation   0.19 eV per atom
# Calculated total energy   -70.6 eV/cell
data_Ce2MnAu
_symmetry_space_group_name_H-M 'R -3 m'
_symmetry_Int_Tables_number 166
_symmetry_space_group_name_Hall '-R 3 2"'
_cell_length_a 3.0313
_cell_length_b 3.0313
_cell_length_c 30.1665
_cell_angle_alpha 90.00
_cell_angle_beta 90.00
_cell_angle_gamma 120.00
loop_
_atom_site_label
_atom_site_fract_x
_atom_site_fract_y
_atom_site_fract_z
_atom_site_occupancy
Ce1 0.0000 0.0000 0.0759 1
Mn1 0.0000 0.0000 0.0000 1
Au1 0.0000 0.0000 0.5000 1

# 8
# PBE HoFeGe3Ru, optimized geometry
# D(E_F)   13.98 states/eV/cell
# Theoretical density   7.74 g/cm³
# Energy of formation   -0.16 eV per atom
# Calculated total energy   -148.6 eV/cell
data_HoFeGe3Ru
_symmetry_space_group_name_H-M 'C m c m'
_symmetry_Int_Tables_number 63
_symmetry_space_group_name_Hall '-C 2c 2'
_cell_length_a 7.670
_cell_length_b 10.772
_cell_length_c 5.606
_cell_angle_alpha 90.00
_cell_angle_beta 90.00
_cell_angle_gamma 90.00
loop_
_atom_site_label
_atom_site_fract_x
_atom_site_fract_y
_atom_site_fract_z
_atom_site_occupancy
Ho1 0.000 0.250 0.250 1
Fe1 0.000 0.037 0.750 1
Ge1 0.000 0.240 0.750 1
Ge2 0.241 0.000 0.000 1
Ru1 0.000 0.455 0.750 1